! PuThNiPt, optimized geometry, DFT PBE-GGA; values from VASP
! Formation energy from the elements in eV/f.u.: -2.06
! Crystal system: cubic
&SYSTEM
  ibrav = 0, nat = 4, ntyp = 4
/
ATOMIC_SPECIES
Th 232.04 Th.upf
Ni 58.69 Ni.upf
Pt 195.08 Pt.upf
Pu 244.00 Pu.upf
CELL_PARAMETERS angstrom
4.974 0.000 0.000
2.487 4.308 0.000
2.487 1.436 4.061
ATOMIC_POSITIONS angstrom
Th 0.000 0.000 0.000
Ni 7.461 4.308 3.046
Pt 2.487 1.436 1.015
Pu 4.974 2.872 2.031



! Co3POs, optimized geometry, DFT PBE-GGA; values from VASP
! Formation energy from the elements in eV/f.u.: 3.65
! Crystal system: cubic
! Energy relative to the lowest polymorph listed for this composition in meV per atom: 0
&SYSTEM
  ibrav = 0, nat = 5, ntyp = 3
/
ATOMIC_SPECIES
Co 58.93 Co.upf
Os 190.23 Os.upf
P 30.97 P.upf
CELL_PARAMETERS angstrom
4.089 0.000 0.000
0.000 4.089 0.000
0.000 0.000 4.089
ATOMIC_POSITIONS angstrom
Co 2.044 0.000 0.000
Os 2.044 2.044 2.044
P 0.000 0.000 0.000
Co 0.000 2.044 0.000
Co 0.000 0.000 2.044



! CoMoRu2, optimized geometry, DFT PBE-GGA; values from VASP
! Formation energy from the elements in eV/f.u.: 0.85
! Crystal system: cubic
! Energy relative to the lowest polymorph listed for this composition in meV per atom: 208
&SYSTEM
  ibrav = 0, nat = 4, ntyp = 3
/
ATOMIC_SPECIES
Mo 95.94 Mo.upf
Co 58.93 Co.upf
Ru 101.07 Ru.upf
CELL_PARAMETERS angstrom
0.000 3.036 3.036
3.036 0.000 3.036
3.036 3.036 0.000
ATOMIC_POSITIONS angstrom
Mo 3.036 3.036 3.036
Co 0.000 0.000 0.000
Ru 1.518 1.518 1.518
Ru 4.554 4.554 4.554



! MgTi4Pt5, optimized geometry, DFT PBE-GGA; values from VASP
! Formation energy from the elements in eV/f.u.: -9.10
! Crystal system: tetragonal
&SYSTEM
  ibrav = 0, nat = 10, ntyp = 3
/
ATOMIC_SPECIES
Ti 47.87 Ti.upf
Pt 195.08 Pt.upf
Mg 24.30 Mg.upf
CELL_PARAMETERS angstrom
2.868 0.000 0.000
0.000 2.868 0.000
0.000 0.000 18.990
ATOMIC_POSITIONS angstrom
Ti 0.000 0.000 7.580
Pt 1.434 1.434 13.322
Ti 0.000 0.000 11.410
Ti 0.000 0.000 3.743
Pt 1.434 1.434 1.912
Pt 1.434 1.434 17.078
Pt 1.434 1.434 9.495
Mg 0.000 0.000 0.000
Pt 1.434 1.434 5.668
Ti 0.000 0.000 15.247



! NaMgSe2, optimized geometry, DFT PBE-GGA; values from VASP
! Raw formation energy in eV/atom: -0.822
! Crystal system: tetragonal
&SYSTEM
  ibrav = 0, nat = 8, ntyp = 3
/
ATOMIC_SPECIES
Se 78.96 Se.upf
Na 22.99 Na.upf
Mg 24.30 Mg.upf
CELL_PARAMETERS angstrom
-7.053 -2.203 1.071
2.338 -5.079 4.948
-2.685 -1.396 5.469
ATOMIC_POSITIONS angstrom
Se -3.846 -3.640 6.225
Se 0.100 -3.739 4.565
Na -1.352 -5.058 6.713
Na -2.358 -3.641 3.010
Se -4.979 -2.421 2.684
Mg -6.048 -3.620 4.775
Mg 0.000 0.000 0.000
Se -6.076 -7.557 9.503



! Rb3BaSc, optimized geometry, DFT PBE-GGA; values from VASP
! Formation energy from the elements in eV/f.u.: 3.87
! Crystal system: cubic
! Energy relative to the lowest polymorph listed for this composition in meV per atom: 0
&SYSTEM
  ibrav = 0, nat = 5, ntyp = 3
/
ATOMIC_SPECIES
Rb 85.47 Rb.upf
Ba 137.33 Ba.upf
Sc 44.96 Sc.upf
CELL_PARAMETERS angstrom
-0.954 -7.219 0.084
6.974 -0.900 1.895
-1.868 0.328 7.031
ATOMIC_POSITIONS angstrom
Rb -0.934 0.164 3.516
Ba 2.076 -3.895 4.505
Sc 0.000 0.000 0.000
Rb -0.477 -3.610 0.042
Rb 3.487 -0.450 0.947



! PmTl2Pd9, optimized geometry, DFT PBE-GGA; values from VASP
! Formation energy from the elements in eV/f.u.: -4.71
! Crystal system: tetragonal
! Energy relative to the lowest polymorph listed for this composition in meV per atom: 0
&SYSTEM
  ibrav = 0, nat = 12, ntyp = 3
/
ATOMIC_SPECIES
Pd 106.42 Pd.upf
Tl 204.38 Tl.upf
Pm 145.00 Pm.upf
CELL_PARAMETERS angstrom
-4.124 0.094 0.050
0.007 -1.712 3.753
0.319 11.233 5.122
ATOMIC_POSITIONS angstrom
Pd -2.059 -0.809 1.902
Pd -2.007 1.984 0.909
Pd 0.267 8.439 6.115
Pd -1.846 6.672 5.313
Pd -1.903 5.663 2.586
Tl 0.108 3.803 1.734
Pd 0.163 4.760 4.438
Pm 0.000 0.000 0.000
Tl 0.211 7.430 3.388
Pd -1.798 9.342 4.264
Pd 0.058 1.081 2.760
Pd -1.952 2.943 3.613



! Ba2InI, optimized geometry, DFT PBE-GGA; values from VASP
! Raw formation energy in eV/atom: -0.876
! Crystal system: orthorhombic
! Energy relative to the lowest polymorph listed for this composition in meV per atom: 0
&SYSTEM
  ibrav = 0, nat = 8, ntyp = 3
/
ATOMIC_SPECIES
Ba 137.33 Ba.upf
In 114.82 In.upf
I 126.90 I.upf
CELL_PARAMETERS angstrom
4.904 0.000 0.000
0.000 5.205 -0.924
0.000 -0.237 13.781
ATOMIC_POSITIONS angstrom
Ba 1.226 1.565 8.810
Ba 1.226 0.282 1.589
Ba 3.678 3.403 4.046
In 1.226 2.190 12.330
Ba 3.678 4.686 11.268
In 3.678 2.778 0.527
I 1.226 0.923 5.194
I 3.678 4.045 7.662



! CoAg2Br, optimized geometry, DFT PBE-GGA; values from VASP
! Raw formation energy in eV/atom: 0.462
! Crystal system: orthorhombic
! Energy relative to the lowest polymorph listed for this composition in meV per atom: 187
&SYSTEM
  ibrav = 0, nat = 4, ntyp = 3
/
ATOMIC_SPECIES
Ag 107.87 Ag.upf
Co 58.93 Co.upf
Br 79.90 Br.upf
CELL_PARAMETERS angstrom
6.855 -0.015 -0.007
5.039 4.647 0.007
-5.701 -2.948 2.408
ATOMIC_POSITIONS angstrom
Ag 6.619 2.578 0.000
Co 3.550 -0.324 1.200
Br 2.643 2.008 1.208
Ag 11.222 4.370 0.000



! NaSb3Pd5, optimized geometry, DFT PBE-GGA; values from VASP
! Raw formation energy in eV/atom: -0.437
! Crystal system: orthorhombic
&SYSTEM
  ibrav = 0, nat = 18, ntyp = 3
/
ATOMIC_SPECIES
Pd 106.42 Pd.upf
Sb 121.76 Sb.upf
Na 22.99 Na.upf
CELL_PARAMETERS angstrom
-2.621 1.454 2.916
1.360 -7.067 1.747
10.086 3.724 7.209
ATOMIC_POSITIONS angstrom
Pd -0.658 -2.918 3.862
Sb -0.736 -0.602 2.637
Pd 0.000 0.000 0.000
Pd 3.684 -4.303 5.457
Na 2.542 -1.694 3.129
Na 6.283 -0.196 8.743
Sb 5.644 -2.734 6.435
Pd 3.140 -1.515 6.577
Pd 5.141 2.414 6.416
Pd 5.685 -0.374 5.296
Sb 7.575 1.417 6.102
Pd 9.483 1.028 8.011
Sb 1.250 -3.306 5.770
Pd 5.043 1.862 3.604
Sb 9.561 -1.287 9.235
Sb 3.182 0.844 5.437
Pd 7.378 3.240 8.015
Pd 1.447 -5.129 3.858



! Na3RhBr, optimized geometry, DFT PBE-GGA; values from VASP
! Raw formation energy in eV/atom: 0.107
! Crystal system: cubic
! Energy relative to the lowest polymorph listed for this composition in meV per atom: 12
&SYSTEM
  ibrav = 0, nat = 5, ntyp = 3
/
ATOMIC_SPECIES
Na 22.99 Na.upf
Rh 102.91 Rh.upf
Br 79.90 Br.upf
CELL_PARAMETERS angstrom
5.548 0.000 0.000
0.000 5.548 0.000
0.000 0.000 5.548
ATOMIC_POSITIONS angstrom
Na 0.000 2.774 0.000
Rh 0.000 0.000 0.000
Na 2.774 0.000 0.000
Br 2.774 2.774 2.774
Na 0.000 0.000 2.774



! Cd3GaHg5, optimized geometry, DFT PBE-GGA; values from VASP
! Formation energy from the elements in eV/f.u.: 0.71
! Crystal system: tetragonal
&SYSTEM
  ibrav = 0, nat = 18, ntyp = 3
/
ATOMIC_SPECIES
Hg 200.59 Hg.upf
Cd 112.41 Cd.upf
Ga 69.72 Ga.upf
CELL_PARAMETERS angstrom
8.547 0.000 0.000
0.000 7.426 0.000
0.000 0.000 7.426
ATOMIC_POSITIONS angstrom
Hg 6.761 5.303 5.837
Cd 0.000 0.000 0.000
Ga 0.000 3.713 0.000
Hg 6.761 2.124 1.590
Hg 1.785 5.303 5.837
Cd 4.273 2.732 6.445
Hg 1.785 2.124 1.590
Hg 6.761 1.590 5.303
Hg 6.761 5.837 2.124
Ga 0.000 0.000 3.713
Cd 0.000 3.713 3.713
Cd 4.273 4.694 0.981
Hg 4.273 0.000 0.000
Cd 4.273 6.445 4.694
Hg 1.785 5.837 2.124
Cd 4.273 0.981 2.732
Hg 1.785 1.590 5.303
Hg 4.273 3.713 3.713



Computed calculated total energy, in the same sequence as the records: -0.6548; -0.5044; -0.6549; -0.5327; -0.2420; -0.1071; -0.3732; -0.2139; -0.2322; -0.3560; -0.1830; -0.0537 Ry/atom.
Computed density, in the same sequence as the records: 13.93; 9.67; 10.59; 12.67; 3.65; 1.89; 11.94; 4.89; 7.65; 7.95; 2.45; 9.93 g/cm³.